An optimized crystal structure of Ba2MgGaO5. Source: Alexandria via LeMat-Bulk, functional PBE-GGA.

Unit cell a=3.4522 b=8.1511 c=10.4776 alpha=90.00 beta=90.00 gamma=102.23
Site moments in Bohr magnetons follow the coordinates.
Element x y z (fractional)
1 O 0.2923 0.5845 0.6332  0.47
2 O 0.4883 0.9767 0.2997  0.04
3 O 0.3464 0.6928 0.9920  0.06
4 O 0.7077 0.4155 0.1332  0.47
5 O 0.3207 0.6413 0.4133  0.30
6 O 0.6793 0.3587 0.9133  0.30
7 O 0.6537 0.3072 0.4920  0.06
8 O 0.5117 0.0233 0.7997  0.04
9 O 0.0470 0.0942 0.0393  0.00
10 O 0.9530 0.9058 0.5392  0.00
11 Mg 0.7774 0.5547 0.5126  -0.01
12 Mg 0.2226 0.4453 0.0126  -0.01
13 Ga 0.4381 0.8762 0.4583  -0.01
14 Ga 0.5618 0.1238 0.9583  -0.01
15 Ba 0.8833 0.7668 0.1722  0.00
16 Ba 0.1174 0.2346 0.3033  0.01
17 Ba 0.8826 0.7653 0.8033  0.01
18 Ba 0.1167 0.2332 0.6722  0.00

Calculated values
ΔE_f (raw) ... -2164 meV/atom

An optimized crystal structure of Y7Tm12Th. Source: Alexandria via LeMat-Bulk, functional PBE-GGA.

Unit cell a=8.6397 b=8.6397 c=8.6397 alpha=89.19 beta=89.19 gamma=89.19
Element x y z (fractional)
1 Tm 0.2820 0.7409 0.8643
2 Tm 0.2591 0.1357 0.7180
3 Tm 0.1357 0.7180 0.2591
4 Tm 0.7409 0.8643 0.2820
5 Tm 0.8643 0.2820 0.7409
6 Tm 0.6177 0.1456 0.5007
7 Tm 0.7180 0.2591 0.1357
8 Tm 0.5007 0.6177 0.1456
9 Tm 0.3823 0.8544 0.4993
10 Tm 0.8544 0.4993 0.3823
11 Tm 0.4993 0.3823 0.8544
12 Tm 0.1456 0.5007 0.6177
13 Y 0.9511 0.8439 0.6185
14 Y 0.3815 0.0489 0.1561
15 Y 0.0489 0.1561 0.3815
16 Y 0.5000 0.5000 0.5000
17 Y 0.6185 0.9511 0.8439
18 Y 0.8439 0.6185 0.9511
19 Y 0.1561 0.3815 0.0489
20 Th 0.0000 0.0000 0.0000

Calculated values
DFT formation energy ... 230 meV per atom

An optimized crystal structure of CaTb4Dy. Source: Alexandria via LeMat-Bulk, functional PBE-GGA.

Unit cell a=3.6236 b=6.3138 c=17.4821 alpha=96.87 beta=90.00 gamma=90.00
Element x y z (fractional)
1 Ca 0.0000 0.0000 0.0000
2 Ca 0.5000 0.0000 0.5000
3 Tb 0.0004 0.8861 0.6718
4 Tb 0.4996 0.8861 0.1718
5 Tb 0.5004 0.1139 0.8282
6 Tb 0.5003 0.3927 0.6680
7 Tb 0.9996 0.1139 0.3282
8 Tb 0.0003 0.6073 0.8320
9 Tb 0.4997 0.6073 0.3320
10 Tb 0.9997 0.3927 0.1680
11 Dy 0.5000 0.5000 0.0000
12 Dy 0.0000 0.5000 0.5000

Calculated values
DFT formation energy ... 58 meV per atom
Offset from the most stable computed form ... 0.00 kcal/mol of atoms

An optimized crystal structure of Hf2MnTc. Source: Alexandria via LeMat-Bulk, functional PBE-GGA.

Unit cell a=7.1250 b=7.1250 c=5.8151 alpha=52.22 beta=52.22 gamma=90.00
Site moments in Bohr magnetons follow the coordinates.
Element x y z (fractional)
1 Mn 0.2500 0.7500 0.5000  2.76
2 Mn 0.5000 0.5000 0.0000  2.75
3 Hf 0.1217 0.6250 0.2500  -0.21
4 Hf 0.6283 0.1250 0.2500  -0.20
5 Hf 0.8750 0.8783 0.7500  -0.22
6 Hf 0.3750 0.3717 0.7500  -0.21
7 Tc 0.0000 0.0000 0.0000  0.38
8 Tc 0.7500 0.2500 0.5000  0.38

Calculated values
DFT formation energy ... 390 meV per atom

Magnetization for every record listed, in sequence, given in Bohr magnetons per cell: 2.1; 0.0; 0.0; 5.5.